## MnNi2W2 (PBE)

Data for a geometry-optimized MnNi2W2 structure.

Computed properties:
Its space group is No. 127. The value obtained for the total energy is -9.0603 eV per atom. The value obtained for the total magnetization is 0.00 μB/cell. The formation energy comes out at 0.267 eV/atom.

Cell lengths 6.3561, 6.3561, 3.2655 Å; angles 90.00, 90.00, 90.00 degrees
With the nearest neighbours (Å) after each atom.
Sites, in units of the cell vectors:
Mn 0.0000 0.0000 0.0000  4 Ni 2.51
Mn 0.5000 0.5000 0.0000  4 Ni 2.51
W 0.3224 0.1776 0.5000  6 Ni 2.40-2.55
W 0.6776 0.8224 0.5000  6 Ni 2.40-2.55
W 0.1776 0.6776 0.5000  6 Ni 2.40-2.55
W 0.8224 0.3224 0.5000  6 Ni 2.40-2.55
Ni 0.6267 0.1267 0.0000  1 Ni 2.28, 2 W 2.40, 2 Mn 2.51
Ni 0.3733 0.8733 0.0000  1 Ni 2.28, 2 W 2.40, 2 Mn 2.51
Ni 0.8733 0.6267 0.0000  1 Ni 2.28, 2 W 2.40, 2 Mn 2.51
Ni 0.1267 0.3733 0.0000  1 Ni 2.28, 2 W 2.40, 2 Mn 2.51